1.
The following is a PBE-GGA calculation of a relaxed BaCoRh2 crystal, from Alexandria via LeMat-Bulk.

Values from the calculation:
Symmetry ... I-42d, No. 122

```
BaCoRh2
1.0
-2.9967 -3.9436 -1.0532
1.2738 -2.1448 4.4067
-6.8231 0.5575 5.1531
Ba Rh Co
2 4 2
direct
0.7500 0.2500 0.5000
0.0000 0.0000 0.0000
0.4318 0.6250 0.2500
0.3182 0.1250 0.2500
0.8750 0.5682 0.7500
0.3750 0.6818 0.7500
0.5000 0.5000 0.0000
0.2500 0.7500 0.5000
```


2.
The following is a PBE-GGA calculation of a relaxed BaCo2Rh crystal, from Alexandria via LeMat-Bulk.

Values from the calculation:
Symmetry ... I-4m2, No. 119

```
BaCo2Rh
1.0
4.8363 0.0193 0.0000
0.7663 4.7752 0.0000
-2.8013 -2.3973 3.1298
Co Ba Rh
2 1 1
direct
0.2500 0.7500 0.5000
0.0000 0.0000 0.0000
0.7500 0.2500 0.5000
0.5000 0.5000 0.0000
```


3.
The following is a PBE-GGA calculation of a relaxed BaCoRh2 crystal, from Alexandria via LeMat-Bulk.

Values from the calculation:
Symmetry ... Fm-3m, No. 225

```
BaCoRh2
1.0
0.0000 3.3549 3.3549
3.3549 0.0000 3.3549
3.3549 3.3549 0.0000
Rh Ba Co
2 1 1
direct
0.2500 0.2500 0.2500
0.7500 0.7500 0.7500
0.5000 0.5000 0.5000
0.0000 0.0000 0.0000
```


4.
The following is a PBE-GGA calculation of a relaxed BaCo2Rh crystal, from Alexandria via LeMat-Bulk.

Values from the calculation:
Symmetry ... I4_1/amd, No. 141

```
BaCo2Rh
1.0
4.7659 0.0000 0.0000
0.0000 4.7659 0.0000
2.3830 2.3830 8.3484
Rh Co Ba
2 4 2
direct
0.2500 0.7500 0.5000
0.5000 0.5000 0.0000
0.3750 0.6250 0.7500
0.8750 0.6250 0.7500
0.3750 0.1250 0.2500
0.3750 0.6250 0.2500
0.0000 0.0000 0.0000
0.7500 0.2500 0.5000
```


Number 1: DFT formation energy 0.35 eV/atom. Number 2: DFT formation energy 0.84 eV/atom. Number 3: DFT formation energy 0.61 eV/atom. Number 4: DFT formation energy 0.44 eV/atom.